# PBE-GGA FeTc2Ge, relaxed
# * E_form: -0.0223 eV/atom
# * crystal system: tetragonal
# * symmetry: P4/mmm
data_FeTc2Ge
_space_group_name_H-M_alt 'P 1'
_space_group_IT_number 1
_cell_length_a 3.010
_cell_length_b 4.269
_cell_length_c 4.269
_cell_angle_alpha 90.00
_cell_angle_beta 90.00
_cell_angle_gamma 90.00
loop_
_space_group_symop_operation_xyz
'x,y,z'
loop_
_atom_site_label
_atom_site_type_symbol
_atom_site_fract_x
_atom_site_fract_y
_atom_site_fract_z
_atom_site_occupancy
Ge1 Ge 0.500 0.500 0.500 1
Tc1 Tc 0.000 0.000 0.500 1
Fe1 Fe 0.500 0.000 0.000 1
Tc2 Tc 0.000 0.500 0.000 1